[1]
{
  "formula": "Zr2HN",
  "functional": "PBE",
  "state": "optimized geometry",
  "total_energy_ev_per_atom": -8.06,
  "rho_g_cm3": 6.40,
  "lattice": [[1.636, 0.945, 5.523], [-1.636, 0.945, 5.523], [0.000, -1.889, 5.523]],
  "species": ["Zr", "Zr", "H", "N"],
  "frac_coords": [[0.000, 0.000, 0.000], [0.182, 0.182, 0.182], [0.416, 0.416, 0.416], [0.592, 0.592, 0.592]]
}

---

[2]
{
  "formula": "Zr3H2N2",
  "functional": "PBE",
  "state": "optimized geometry",
  "total_energy_ev_per_atom": -8.01,
  "rho_g_cm3": 5.89,
  "lattice": [[5.462, -1.615, 0.000], [5.462, 1.615, 0.000], [-2.370, 0.000, 4.855]],
  "species": ["Zr", "Zr", "Zr", "H", "H", "N", "N"],
  "frac_coords": [[0.000, 0.000, 0.000], [0.194, 0.194, 0.718], [0.806, 0.806, 0.282], [0.194, 0.194, 0.340], [0.806, 0.806, 0.660], [0.387, 0.387, 0.118], [0.613, 0.613, 0.882]]
}

---

[3]
{
  "formula": "Zr5H2N5",
  "functional": "PBE",
  "state": "optimized geometry",
  "total_energy_ev_per_atom": -8.82,
  "rho_g_cm3": 6.10,
  "lattice": [[5.390, -1.575, 0.000], [5.390, 1.575, 0.000], [-2.441, 0.000, 8.470]],
  "species": ["Zr", "Zr", "Zr", "Zr", "Zr", "H", "H", "N", "N", "N", "N", "N"],
  "frac_coords": [[0.000, 0.000, 0.000], [0.116, 0.116, 0.428], [0.289, 0.289, 0.186], [0.711, 0.711, 0.814], [0.884, 0.884, 0.572], [0.060, 0.060, 0.790], [0.940, 0.940, 0.210], [0.263, 0.263, 0.649], [0.350, 0.350, 0.960], [0.500, 0.500, 0.500], [0.650, 0.650, 0.040], [0.737, 0.737, 0.351]]
}

---

[4]
{
  "formula": "Zr3HN3",
  "functional": "PBE",
  "state": "optimized geometry",
  "total_energy_ev_per_atom": -9.10,
  "rho_g_cm3": 6.02,
  "lattice": [[6.645, 0.000, 0.000], [-3.323, 5.755, 0.000], [0.000, 0.000, 4.569]],
  "species": ["Zr", "Zr", "Zr", "Zr", "Zr", "Zr", "H", "H", "N", "N", "N", "N", "N", "N"],
  "frac_coords": [[0.035, 0.353, 0.250], [0.318, 0.965, 0.250], [0.353, 0.318, 0.750], [0.647, 0.682, 0.250], [0.682, 0.035, 0.750], [0.965, 0.647, 0.750], [0.333, 0.667, 0.250], [0.667, 0.333, 0.750], [0.038, 0.350, 0.750], [0.312, 0.962, 0.750], [0.350, 0.312, 0.250], [0.650, 0.688, 0.750], [0.688, 0.038, 0.250], [0.962, 0.650, 0.250]]
}

---

[5]
{
  "formula": "Zr6HN",
  "functional": "PBE",
  "state": "optimized geometry",
  "total_energy_ev_per_atom": -8.41,
  "rho_g_cm3": 6.39,
  "relative_energy_mev_per_atom": 2.1,
  "lattice": [[5.675, 0.000, 0.000], [-2.838, 4.915, 0.000], [0.000, 0.000, 10.473]],
  "species": ["Zr", "Zr", "Zr", "Zr", "Zr", "Zr", "Zr", "Zr", "Zr", "Zr", "Zr", "Zr", "H", "H", "N", "N"],
  "frac_coords": [[0.009, 0.343, 0.124], [0.009, 0.665, 0.376], [0.335, 0.343, 0.376], [0.335, 0.991, 0.124], [0.343, 0.009, 0.624], [0.343, 0.335, 0.876], [0.657, 0.665, 0.124], [0.657, 0.991, 0.376], [0.665, 0.009, 0.876], [0.665, 0.657, 0.624], [0.991, 0.335, 0.624], [0.991, 0.657, 0.876], [0.000, 0.000, 0.000], [0.000, 0.000, 0.500], [0.333, 0.667, 0.250], [0.667, 0.333, 0.750]]
}

---

[6]
{
  "formula": "Zr4H5N",
  "functional": "PBE",
  "state": "optimized geometry",
  "total_energy_ev_per_atom": -6.57,
  "rho_g_cm3": 5.82,
  "relative_energy_mev_per_atom": 73.7,
  "lattice": [[-1.632, 3.028, 5.542], [1.632, -3.028, 5.542], [1.632, 3.028, -5.542]],
  "species": ["Zr", "Zr", "Zr", "Zr", "H", "H", "H", "H", "H", "N"],
  "frac_coords": [[0.213, 0.213, 0.000], [0.256, 0.500, 0.756], [0.744, 0.500, 0.244], [0.787, 0.787, 0.000], [0.025, 0.314, 0.711], [0.397, 0.686, 0.711], [0.500, 0.000, 0.500], [0.603, 0.314, 0.289], [0.975, 0.686, 0.289], [0.000, 0.000, 0.000]]
}

---

[7]
{
  "formula": "Zr2HN",
  "functional": "PBE",
  "state": "optimized geometry",
  "total_energy_ev_per_atom": -7.46,
  "rho_g_cm3": 6.87,
  "lattice": [[0.000, 2.879, 2.879], [2.879, 0.000, 2.879], [2.879, 2.879, 0.000]],
  "species": ["Zr", "Zr", "H", "N"],
  "frac_coords": [[0.250, 0.250, 0.250], [0.750, 0.750, 0.750], [0.000, 0.000, 0.000], [0.500, 0.500, 0.500]]
}

---

[8]
{
  "formula": "Zr6HN2",
  "functional": "PBE",
  "state": "optimized geometry",
  "total_energy_ev_per_atom": -8.80,
  "rho_g_cm3": 6.46,
  "lattice": [[5.292, 0.000, 0.000], [0.000, 5.631, 0.000], [0.000, 0.000, 9.937]],
  "species": ["Zr", "Zr", "Zr", "Zr", "Zr", "Zr", "Zr", "Zr", "Zr", "Zr", "Zr", "Zr", "H", "H", "N", "N", "N", "N"],
  "frac_coords": [[0.238, 0.179, 0.173], [0.238, 0.179, 0.827], [0.240, 0.164, 0.500], [0.260, 0.664, 0.000], [0.262, 0.679, 0.327], [0.262, 0.679, 0.673], [0.738, 0.321, 0.327], [0.738, 0.321, 0.673], [0.740, 0.336, 0.000], [0.760, 0.836, 0.500], [0.762, 0.821, 0.173], [0.762, 0.821, 0.827], [0.000, 0.500, 0.500], [0.500, 0.000, 0.000], [0.000, 0.000, 0.335], [0.000, 0.000, 0.665], [0.500, 0.500, 0.165], [0.500, 0.500, 0.835]]
}

---

[9]
{
  "formula": "Zr6HN",
  "functional": "PBE",
  "state": "optimized geometry",
  "total_energy_ev_per_atom": -8.41,
  "rho_g_cm3": 6.39,
  "relative_energy_mev_per_atom": 0.0,
  "lattice": [[2.836, 1.638, 5.241], [-2.836, 1.638, 5.241], [0.000, -3.275, 5.241]],
  "species": ["Zr", "Zr", "Zr", "Zr", "Zr", "Zr", "H", "N"],
  "frac_coords": [[0.090, 0.418, 0.739], [0.261, 0.910, 0.582], [0.418, 0.739, 0.090], [0.582, 0.261, 0.910], [0.739, 0.090, 0.418], [0.910, 0.582, 0.261], [0.000, 0.000, 0.000], [0.500, 0.500, 0.500]]
}

---

[10]
{
  "formula": "Zr4HN3",
  "functional": "PBE",
  "state": "optimized geometry",
  "total_energy_ev_per_atom": -9.19,
  "rho_g_cm3": 6.90,
  "relative_energy_mev_per_atom": 0.0,
  "lattice": [[3.260, -4.629, 0.000], [3.260, 4.629, 0.000], [0.000, 0.000, 3.253]],
  "species": ["Zr", "Zr", "Zr", "Zr", "H", "N", "N", "N"],
  "frac_coords": [[0.245, 0.245, 0.500], [0.245, 0.755, 0.000], [0.755, 0.245, 0.000], [0.755, 0.755, 0.500], [0.500, 0.500, 0.000], [0.000, 0.000, 0.000], [0.000, 0.500, 0.500], [0.500, 0.000, 0.500]]
}

---

[11]
{
  "formula": "Zr4HN3",
  "functional": "PBE",
  "state": "optimized geometry",
  "total_energy_ev_per_atom": -9.16,
  "rho_g_cm3": 6.90,
  "relative_energy_mev_per_atom": 29.9,
  "lattice": [[4.614, 0.000, 0.000], [0.000, 4.614, 0.000], [0.000, 0.000, 4.614]],
  "species": ["Zr", "Zr", "Zr", "Zr", "H", "N", "N", "N"],
  "frac_coords": [[0.000, 0.000, 0.000], [0.000, 0.500, 0.500], [0.500, 0.000, 0.500], [0.500, 0.500, 0.000], [0.500, 0.500, 0.500], [0.000, 0.000, 0.500], [0.000, 0.500, 0.000], [0.500, 0.000, 0.000]]
}

---

[12]
{
  "formula": "ZrH2N",
  "functional": "PBE",
  "state": "optimized geometry",
  "total_energy_ev_per_atom": -5.91,
  "rho_g_cm3": 5.90,
  "relative_energy_mev_per_atom": 262.7,
  "lattice": [[0.000, 2.471, 2.471], [2.471, 0.000, 2.471], [2.471, 2.471, 0.000]],
  "species": ["Zr", "H", "H", "N"],
  "frac_coords": [[0.000, 0.000, 0.000], [0.250, 0.250, 0.250], [0.750, 0.750, 0.750], [0.500, 0.500, 0.500]]
}